w:
A relaxed structure of TlP2SeO, computed with PBE-GGA.

Output
**Total magnetic moment**: 0.38 μB/cell
**Space group**: P4/mmm, No. 123
**D(E_F)**: 4.42 states/eV/f.u.

Cell lengths 5.1813, 5.1813, 4.0937 Å; angles 90.00, 90.00, 90.00 degrees
With the nearest neighbours (Å) after each atom.
Fractional positions:
Tl: 0.0000 0.0000 0.0000  2 O 2.05
P: 0.0000 0.5000 0.0000  2 Tl 2.59
P: 0.5000 0.0000 0.0000  2 Tl 2.59
Se: 0.5000 0.5000 0.5000  8 P 3.30, 4 O 3.66
O: 0.0000 0.0000 0.5000  2 Tl 2.05

---

x:
A relaxed structure of TlP2SeO, computed with PBE-GGA.

Output
**Total magnetic moment**: 0.00 μB/cell
**Space group**: P4/mmm, No. 123
**D(E_F)**: 3.61 states/eV/f.u.

Cell lengths 4.9880, 4.9880, 3.8064 Å; angles 90.00, 90.00, 90.00 degrees
With the nearest neighbours (Å) after each atom.
Fractional positions:
Tl: 0.0000 0.0000 0.0000  8 P 3.14
P: 0.0000 0.5000 0.5000  2 Se 2.49
P: 0.5000 0.0000 0.5000  2 Se 2.49
Se: 0.5000 0.5000 0.5000  2 O 1.90
O: 0.5000 0.5000 0.0000  2 Se 1.90

---

We find x to be the most stable, with the next structure 592 meV/atom higher.

---

w:
A relaxed structure of TlPSeO2, computed with PBE-GGA.

Output
**Total magnetic moment**: 1.12 μB/cell
**Space group**: P4/mmm, No. 123
**D(E_F)**: 2.81 states/eV/f.u.

Cell lengths 3.9803, 3.9803, 7.6851 Å; angles 90.00, 90.00, 90.00 degrees
With the nearest neighbours (Å) after each atom.
Fractional positions:
Tl: 0.0000 0.0000 0.0000  4 O 1.99
P: 0.0000 0.0000 0.5000  4 Se 2.81
Se: 0.5000 0.5000 0.5000  4 P 2.81
O: 0.0000 0.5000 0.0000  2 Tl 1.99
O: 0.5000 0.0000 0.0000  2 Tl 1.99

---

x:
A relaxed structure of TlPSeO2, computed with PBE-GGA.

Output
**Total magnetic moment**: 0.00 μB/cell
**Space group**: P4/mmm, No. 123
**D(E_F)**: 2.84 states/eV/f.u.

Cell lengths 3.9304, 3.9304, 5.0533 Å; angles 90.00, 90.00, 90.00 degrees
With the nearest neighbours (Å) after each atom.
Fractional positions:
Tl: 0.0000 0.0000 0.0000  4 P 2.78
P: 0.5000 0.5000 0.0000  2 Se 2.53, 4 Tl 2.78
Se: 0.5000 0.5000 0.5000  4 O 1.97
O: 0.0000 0.5000 0.5000  2 Se 1.97
O: 0.5000 0.0000 0.5000  2 Se 1.97

---

We find x to be the most stable, with the next structure 609 meV/atom higher.